The following is a PBE calculation of a relaxed structure of AcY2S5, from the Alexandria database.

POSCAR file:
```
AcY2S5
1.0
-2.442 -1.916 -6.784
6.988 -1.606 -2.062
-3.080 -4.335 6.435
Ac Y S
2 4 10
Direct
0.750 0.750 0.500 Ac
0.250 0.250 0.500 Ac
0.158 0.342 0.000 Y
0.658 0.158 0.000 Y
0.342 0.842 0.000 Y
0.842 0.658 0.000 Y
0.511 0.710 0.721 S
0.790 0.989 0.279 S
0.000 0.000 0.000 S
0.500 0.500 0.000 S
0.210 0.011 0.721 S
0.710 0.210 0.721 S
0.011 0.511 0.721 S
0.290 0.790 0.279 S
0.989 0.489 0.279 S
0.489 0.290 0.279 S
```

Calculated values
The calculation puts the formation energy (no corrections) at -1872 meV per atom. The value obtained for the total moment is 0.0 μB/f.u. The crystal system is tetragonal. The symmetry is I4/mcm (140).